PBE BeC2N, optimized geometry; polymorph energy (0 for the lowest one) = 163 meV per atom; calculated volume = 9.66 Å³ per atom; total DFT energy (no corrections) = -7.323 eV/atom; crystal system = orthorhombic; symmetry = Imm2 (44)
1.0
2.7219 0.0000 0.0000
0.0000 3.0610 0.0000
0.0000 0.0000 9.2800
Be C N
2 4 2
direct
0.0000 0.0000 0.0000
0.5000 0.5000 0.5000
0.0000 0.5000 0.1098
0.0000 0.5000 0.2522
0.5000 0.0000 0.6098
0.5000 0.0000 0.7522
0.0000 0.5000 0.3838
0.5000 0.0000 0.8838